12
Lattice="-0.9993 -0.4180 -4.1836 7.3792 -4.9757 -1.2655 -6.7864 -6.3983 2.2603" Properties=species:S:1:pos:R:3 comment="LiLaErTe3, optimized geometry, DFT PBE-GGA" dos_ef_per_ev_atom=0.513 e_form_raw_ev_per_atom=-1.34 magnetic_moment_mub_per_fu=0.012 sg="P2_1/m (11)" pbc="T T T"
Li -3.5905 -4.2827 0.1695
Li 3.1839 -7.5093 -3.3582
Te 5.0553 -5.6280 -3.9932
Te -5.4618 -6.1640 0.8045
Te -1.7040 -8.1961 0.1099
Te -2.4683 -4.7170 -2.2871
Te 2.0617 -7.0749 -0.9016
Te 1.2974 -3.5959 -3.2986
Er -4.0302 -7.3449 -1.6515
Er 3.6236 -4.4471 -1.5372
La -0.4330 -2.5413 -0.7587
La 0.0265 -9.2507 -2.4300


18
Lattice="4.4706 0.0000 0.0000 -2.2353 9.4331 0.0000 0.0000 0.0000 13.2692" Properties=species:S:1:pos:R:3 comment="LiLa2ErTe5, optimized geometry, DFT PBE-GGA" e_form_raw_ev_per_atom=-1.42 magnetic_moment_mub_per_fu=0.000 sg="Cmc2_1 (36)" pbc="T T T"
Er 0.0000 3.7336 0.1329
Er 2.2353 5.6995 6.7675
La 2.2353 7.4220 2.4574
La 2.2353 7.0634 10.6644
La 0.0000 2.0110 9.0920
La 0.0000 2.3697 4.0298
Te 0.0000 5.8387 4.6377
Te 0.0000 5.3646 8.8435
Te 2.2353 3.5944 11.2723
Te 0.0000 9.4016 10.3553
Te 2.2353 2.6392 6.6240
Te 0.0000 6.7939 13.2586
Te 2.2353 4.0685 2.2089
Te 0.0000 0.9004 0.9008
Te 2.2353 0.0315 3.7207
Te 2.2353 8.5327 7.5354
Li 2.2353 1.1167 12.7598
Li 0.0000 8.3164 6.1252